This record from Alexandria via LeMat-Bulk describes Zn2Cr after structural relaxation. The functional is GGA-PBE.

Geometry as POSCAR:
```
Zn2Cr
1.0
0.000 3.543 3.543
3.543 0.000 3.543
3.543 3.543 0.000
Zn Cr
4 2
Direct
0.625 0.625 0.625 Zn
0.125 0.625 0.625 Zn
0.625 0.125 0.625 Zn
0.625 0.625 0.125 Zn
0.000 0.000 0.000 Cr
0.250 0.250 0.250 Cr
```

Values from the calculation:
Space-group type: No. 227
VASP energy: -22.96 eV per cell
ΔH_f (0 K): 0.231 eV/atom
D(E_F): 3.56 states/eV per cell
Total magnetic moment: 6.97 μB per cell

=====

This record from Alexandria via LeMat-Bulk describes Zn3Cr after structural relaxation. The functional is GGA-PBE.

Geometry as POSCAR:
```
Zn3Cr
1.0
-1.074 2.110 4.521
1.703 -4.191 2.362
4.689 2.006 0.178
Cr Zn
1 3
Direct
0.000 0.000 0.000 Cr
0.000 0.000 0.500 Zn
0.000 0.500 0.000 Zn
0.500 0.000 0.000 Zn
```

Values from the calculation:
Space-group type: No. 221
VASP energy: -9.95 eV per cell
ΔH_f (0 K): 0.875 eV/atom
D(E_F): 2.84 states/eV per cell
Total magnetic moment: 4.93 μB per cell

=====

This record from Alexandria via LeMat-Bulk describes Zn2Cr after structural relaxation. The functional is GGA-PBE.

Geometry as POSCAR:
```
Zn2Cr
1.0
-2.204 -1.716 -0.596
-0.372 -0.895 3.957
-10.610 12.954 1.933
Cr Zn
4 8
Direct
0.000 0.250 0.607 Cr
0.000 0.750 0.393 Cr
0.500 0.250 0.893 Cr
0.500 0.750 0.107 Cr
0.000 0.250 0.040 Zn
0.000 0.250 0.188 Zn
0.000 0.750 0.812 Zn
0.000 0.750 0.960 Zn
0.500 0.250 0.312 Zn
0.500 0.250 0.460 Zn
0.500 0.750 0.540 Zn
0.500 0.750 0.688 Zn
```

Values from the calculation:
Space-group type: No. 74
VASP energy: -44.74 eV per cell
ΔH_f (0 K): 0.329 eV/atom
D(E_F): 5.42 states/eV per cell
Total magnetic moment: 14.77 μB per cell

=====

- What is the formula in the first record?
  Zn2Cr

=====

- What is the VASP energy in the third record?
  -44.74 eV per cell

=====

- Which of these has the highest ΔH_f (0 K)?
  Zn3Cr

=====

- What is the formula in the first record?
  Zn2Cr